1.
Computed, not measured: ReTeOs after structural relaxation at the PBE-GGA level of DFT.

Cell: 3.0199 3.0199 6.4939 Å, 90.00 90.00 120.00°
Fractional coordinates of all 3 atoms:
Te: 0.3333 0.6667 0.6645
Os: 0.0000 0.0000 0.0133
Re: 0.6667 0.3333 0.3222

Computed properties:
The value obtained for the energy above the lowest structure with this stoichiometry is 57 meV/atom. Its space group is P3m1. For the formation energy without anion corrections, the calculation gives 719.9 meV/atom.



2.
Computed, not measured: Re2TeOs after structural relaxation at the PBE-GGA level of DFT.

Cell: 4.5318 4.5318 4.5318 Å, 60.00 60.00 60.00°
Fractional coordinates of all 4 atoms:
Te: 0.7500 0.7500 0.7500
Re: 0.2500 0.2500 0.2500
Re: 0.0000 0.0000 0.0000
Os: 0.5000 0.5000 0.5000

Computed properties:
Its space group is F-43m. For the formation energy without anion corrections, the calculation gives 932.5 meV/atom.



3.
Computed, not measured: ReTeOs2 after structural relaxation at the PBE-GGA level of DFT.

Cell: 2.9404 3.7736 5.9828 Å, 90.00 90.00 90.00°
Fractional coordinates of all 4 atoms:
Os: 0.0000 0.0000 0.4703
Os: 0.0000 0.0000 0.0297
Re: 0.5000 0.5000 0.2500
Te: 0.5000 0.5000 0.7500

Computed properties:
Its space group is Pmmm. For the formation energy without anion corrections, the calculation gives 721.8 meV/atom.



4.
Computed, not measured: Re2TeOs after structural relaxation at the PBE-GGA level of DFT.

Cell: 3.0199 4.6181 4.7117 Å, 90.00 90.00 90.00°
Fractional coordinates of all 4 atoms:
Re: 0.0000 0.0000 0.0000
Re: 0.5000 0.5000 0.0000
Os: 0.0000 0.5000 0.5000
Te: 0.5000 0.0000 0.5000

Computed properties:
Its space group is Pmmm. For the formation energy without anion corrections, the calculation gives 877.0 meV/atom.